A plane-wave DFT calculation with PBE was carried out for an optimized crystal structure of Cr2Co2Tc.

Results
Calculated density ... 8997 kg/m3
Formation energy from the elements ... 0.124 eV/atom
Calculated volume ... 118.1 Å³/cell
Electronic total energy ... -43.20 eV per formula unit

extended XYZ file:
```
10
Lattice="-1.825 6.189 2.265 -4.304 -2.899 4.454 1.843 -0.087 1.724" Properties=species:S:1:pos:R:3 pbc="T T T"
Cr -3.868 1.719 6.070
Cr -1.999 4.128 4.195
Cr -0.419 1.483 2.372
Cr -2.288 -0.926 4.247
Tc -3.065 1.645 3.359
Tc 0.000 0.000 0.000
Co -4.284 3.616 4.762
Co -4.459 -0.211 4.756
Co -1.846 -0.326 1.956
Co -1.670 3.501 1.963
```


A plane-wave DFT calculation with PBE was carried out for an optimized crystal structure of CrCo2Tc.

Results
Calculated density ... 9499 kg/m3
Formation energy from the elements ... 0.053 eV/atom
Calculated volume ... 46.8 Å³/cell
Electronic total energy ... -33.99 eV per formula unit

extended XYZ file:
```
4
Lattice="-1.055 1.554 -1.707 -0.602 -2.838 -2.211 -4.524 -0.712 2.146" Properties=species:S:1:pos:R:3 pbc="T T T"
Cr -1.959 -0.820 -1.423
Tc -4.221 -1.176 -0.350
Co -0.033 -0.005 0.016
Co -2.228 -0.351 1.057
```


A plane-wave DFT calculation with PBE was carried out for an optimized crystal structure of CrCo2Tc.

Results
Calculated density ... 9405 kg/m3
Formation energy from the elements ... 0.111 eV/atom
Calculated volume ... 47.3 Å³/cell
Electronic total energy ... -33.76 eV per formula unit

extended XYZ file:
```
4
Lattice="2.553 -0.011 0.000 0.011 2.553 0.000 0.000 0.000 7.256" Properties=species:S:1:pos:R:3 pbc="T T T"
Co 1.282 1.271 1.831
Co 0.000 0.000 0.074
Cr 0.000 0.000 3.442
Tc 1.282 1.271 5.536
```


A plane-wave DFT calculation with PBE was carried out for an optimized crystal structure of CrCo2Tc.

Results
Calculated density ... 9182 kg/m3
Formation energy from the elements ... 0.199 eV/atom
Calculated volume ... 48.4 Å³/cell
Electronic total energy ... -33.41 eV per formula unit

extended XYZ file:
```
4
Lattice="-5.277 -6.074 -2.714 -3.453 -6.293 -4.536 -3.186 -7.533 -2.281" Properties=species:S:1:pos:R:3 pbc="T T T"
Co -11.877 -19.835 -9.500
Co -2.977 -4.971 -2.381
Cr -6.017 -10.049 -4.813
Tc -8.919 -14.896 -7.134
```